# 1
4
Lattice="-1.792 2.040 9.239 1.792 -2.040 9.239 1.792 2.040 -9.239" Properties=species:S:1:pos:R:3 comment="Sr2ZrCu PBE-GGA optimized geometry" formation_enthalpy_0k_ev_per_atom=0.32 vol_a3_per_atom=33.77 magnetic_moment_mub_per_fu=0.0 relative_energy_ev_per_atom=0.1187 pbc="T T T"
Sr 0.000 0.000 2.851
Sr 0.000 0.000 15.626
Zr 0.000 2.040 0.000
Cu 1.792 0.000 0.000

***

# 2
10
Lattice="7.540 0.000 0.000 0.000 7.540 0.000 0.000 0.000 2.664" Properties=species:S:1:pos:R:3 comment="NaCr2Ir2 PBE-GGA optimized geometry" formation_enthalpy_0k_ev_per_atom=0.13 vol_a3_per_atom=15.14 magnetic_moment_mub_per_fu=1.6 relative_energy_ev_per_atom=0.0407 pbc="T T T"
Na 0.000 0.000 0.000
Na 3.770 3.770 0.000
Cr 1.210 2.560 1.332
Cr 2.560 6.330 1.332
Cr 4.980 1.210 1.332
Cr 6.330 4.980 1.332
Ir 0.988 4.758 0.000
Ir 2.782 0.988 0.000
Ir 4.758 6.552 0.000
Ir 6.552 2.782 0.000

***

# 3
4
Lattice="0.000 3.687 3.687 3.687 0.000 3.687 3.687 3.687 0.000" Properties=species:S:1:pos:R:3 comment="SrTbAgPd PBE-GGA optimized geometry" formation_enthalpy_0k_ev_per_atom=-0.42 vol_a3_per_atom=25.07 magnetic_moment_mub_per_fu=0.0 pbc="T T T"
Sr 0.000 0.000 0.000
Tb 3.687 3.687 3.687
Ag 1.844 1.844 1.844
Pd 5.531 5.531 5.531

***

# 4
5
Lattice="4.131 0.000 0.000 0.000 4.131 0.000 0.000 0.000 5.377" Properties=species:S:1:pos:R:3 comment="HfSn2HS PBE-GGA optimized geometry" vol_a3_per_atom=18.35 energy_ev_per_cell=-24.7 magnetic_moment_mub_per_fu=0.0 pbc="T T T"
Hf 0.000 0.000 0.000
Sn 0.000 2.066 2.688
Sn 2.066 0.000 2.688
H 2.066 2.066 2.688
S 2.066 2.066 0.000

***

# 5
12
Lattice="4.353 -6.412 0.000 4.353 6.412 0.000 -1.909 0.000 5.815" Properties=species:S:1:pos:R:3 comment="Ho4NiPb PBE-GGA optimized geometry" formation_enthalpy_0k_ev_per_atom=-0.31 vol_a3_per_atom=27.05 magnetic_moment_mub_per_fu=0.0 relative_energy_ev_per_atom=0.0341 pbc="T T T"
Ho 1.588 4.335 5.524
Ho 1.333 1.079 3.556
Ho 4.254 4.335 3.198
Ho 2.288 -1.079 0.648
Ho 4.509 1.079 5.166
Ho 2.543 -4.335 2.617
Ho 5.463 -1.079 2.259
Ho 5.208 -4.335 0.291
Ni 3.876 -6.407 1.454
Ni 2.921 6.407 4.361
Pb 3.876 1.611 1.454
Pb 2.921 -1.611 4.361

***

# 6
6
Lattice="0.000 3.863 3.863 3.863 0.000 3.863 3.863 3.863 0.000" Properties=species:S:1:pos:R:3 comment="SrPrRu4 PBE-GGA optimized geometry" formation_enthalpy_0k_ev_per_atom=0.13 vol_a3_per_atom=19.22 magnetic_moment_mub_per_fu=1.1 pbc="T T T"
Sr 0.000 0.000 0.000
Pr 1.932 1.932 1.932
Ru 4.828 2.899 2.899
Ru 2.899 4.828 2.899
Ru 2.899 2.899 4.828
Ru 4.828 4.828 4.828

***

# 7
3
Lattice="-2.121 2.121 6.809 2.121 -2.121 6.809 2.121 2.121 -6.809" Properties=species:S:1:pos:R:3 comment="KNaMg PBE-GGA optimized geometry" formation_enthalpy_0k_ev_per_atom=0.15 vol_a3_per_atom=40.84 magnetic_moment_mub_per_fu=0.0 relative_energy_ev_per_atom=0.0305 pbc="T T T"
K 0.000 0.000 0.000
Na 0.000 0.000 9.612
Mg 0.000 0.000 4.330

***

# 8
16
Lattice="0.000 7.230 12.765 3.061 0.000 12.765 3.061 7.230 0.000" Properties=species:S:1:pos:R:3 comment="Cs2ScTiS4 PBE-GGA optimized geometry" e_form_raw_kj_per_mol_atoms=-140 vol_a3_per_atom=35.32 magnetic_moment_mub_per_fu=1.0 pbc="T T T"
Cs 2.296 5.423 1.302
Cs 3.827 9.038 7.684
Cs 2.296 5.423 17.846
Cs 3.827 9.038 24.229
Sc 0.765 1.808 3.191
Sc 5.358 12.653 22.339
Ti 2.296 5.423 9.574
Ti 3.827 9.038 15.957
S 2.390 3.148 4.454
S 3.733 6.763 10.837
S 2.202 7.697 4.454
S 2.202 3.148 14.694
S 3.921 11.312 10.837
S 3.921 6.763 21.077
S 2.390 7.697 14.694
S 3.733 11.312 21.077

***

# 9
4
Lattice="1.509 0.871 9.325 -1.509 0.871 9.325 0.000 -1.742 9.325" Properties=species:S:1:pos:R:3 comment="YTaIr2 PBE-GGA optimized geometry" formation_enthalpy_0k_ev_per_atom=0.22 vol_a3_per_atom=18.39 magnetic_moment_mub_per_fu=0.3 pbc="T T T"
Y 0.000 0.000 0.000
Ta 0.000 0.000 21.378
Ir 0.000 0.000 7.053
Ir 0.000 0.000 14.097

***

# 10
4
Lattice="1.635 0.944 8.324 -1.635 0.944 8.324 0.000 -1.887 8.324" Properties=species:S:1:pos:R:3 comment="BeHg2As PBE-GGA optimized geometry" formation_enthalpy_0k_ev_per_atom=0.39 vol_a3_per_atom=19.26 magnetic_moment_mub_per_fu=0.0 relative_energy_ev_per_atom=0.3298 pbc="T T T"
Be 0.000 0.000 0.000
Hg 0.000 0.000 6.580
Hg 0.000 0.000 18.393
As 0.000 0.000 12.486

***

# 11
5
Lattice="4.037 0.000 0.000 0.000 4.037 0.000 0.000 0.000 4.037" Properties=species:S:1:pos:R:3 comment="TaBe3Tc PBE-GGA optimized geometry" formation_enthalpy_0k_ev_per_atom=0.71 vol_a3_per_atom=13.16 magnetic_moment_mub_per_fu=0.0 relative_energy_ev_per_atom=0.0000 pbc="T T T"
Ta 0.000 0.000 0.000
Be 0.000 2.019 2.019
Be 2.019 0.000 2.019
Be 2.019 2.019 0.000
Tc 2.019 2.019 2.019

***

# 12
5
Lattice="5.549 0.000 0.000 0.000 5.549 0.000 0.000 0.000 5.549" Properties=species:S:1:pos:R:3 comment="Pa4I PBE-GGA optimized geometry" e_form_raw_kj_per_mol_atoms=122 vol_a3_per_atom=34.17 magnetic_moment_mub_per_fu=1.6 pbc="T T T"
Pa 0.000 0.000 0.000
Pa 0.000 2.774 2.774
Pa 2.774 0.000 2.774
Pa 2.774 2.774 0.000
I 2.774 2.774 2.774

***

# 13
5
Lattice="4.825 0.000 0.000 0.000 4.825 0.000 0.000 0.000 6.847" Properties=species:S:1:pos:R:3 comment="RbRh2IBr PBE-GGA optimized geometry" e_form_raw_kj_per_mol_atoms=37 vol_a3_per_atom=31.88 magnetic_moment_mub_per_fu=2.4 pbc="T T T"
Rb 0.000 0.000 0.000
Rh 0.000 2.412 3.424
Rh 2.412 0.000 3.424
I 2.412 2.412 0.000
Br 0.000 0.000 3.424

***

# 14
4
Lattice="3.889 0.000 0.000 0.000 3.889 0.000 0.000 0.000 4.834" Properties=species:S:1:pos:R:3 comment="SrRe2Ir PBE-GGA optimized geometry" formation_enthalpy_0k_ev_per_atom=1.09 vol_a3_per_atom=18.28 magnetic_moment_mub_per_fu=0.0 relative_energy_ev_per_atom=0.6423 pbc="T T T"
Sr 0.000 0.000 0.000
Re 0.000 1.945 2.417
Re 1.945 0.000 2.417
Ir 1.945 1.945 0.000

***

# 15
4
Lattice="3.092 -5.000 0.000 3.092 5.000 0.000 0.000 0.000 2.902" Properties=species:S:1:pos:R:3 comment="BaTa2Al PBE-GGA optimized geometry" formation_enthalpy_0k_ev_per_atom=1.07 vol_a3_per_atom=22.44 magnetic_moment_mub_per_fu=0.0 pbc="T T T"
Ba 0.000 0.000 0.000
Ta 1.546 2.500 1.451
Ta 1.546 -2.500 1.451
Al 3.092 0.000 0.000

***

# 16
5
Lattice="5.284 0.000 0.000 0.000 5.284 0.000 0.000 0.000 5.284" Properties=species:S:1:pos:R:3 comment="Sc3MnSn PBE-GGA optimized geometry" formation_enthalpy_0k_ev_per_atom=1.12 vol_a3_per_atom=29.51 magnetic_moment_mub_per_fu=0.2 relative_energy_ev_per_atom=1.1233 pbc="T T T"
Sc 0.000 0.000 2.642
Sc 0.000 2.642 0.000
Sc 2.642 0.000 0.000
Mn 2.642 2.642 2.642
Sn 0.000 0.000 0.000

***

# 17
12
Lattice="0.000 6.457 7.216 2.532 0.000 7.216 2.532 6.457 0.000" Properties=species:S:1:pos:R:3 comment="ErCuRh PBE-GGA optimized geometry" formation_enthalpy_0k_ev_per_atom=-0.27 vol_a3_per_atom=19.66 magnetic_moment_mub_per_fu=0.0 relative_energy_ev_per_atom=0.3240 pbc="T T T"
Er 2.532 1.821 5.444
Er 2.532 1.821 8.989
Er 2.532 11.093 5.444
Er 2.532 11.093 8.989
Cu 2.532 4.255 7.216
Cu 2.532 6.457 5.973
Cu 2.532 6.457 8.459
Cu 2.532 8.659 7.216
Rh 2.532 4.355 4.536
Rh 2.532 8.559 4.536
Rh 2.532 4.355 9.896
Rh 2.532 8.559 9.896

***

# 18
4
Lattice="1.894 1.093 9.488 -1.894 1.093 9.488 0.000 -2.187 9.488" Properties=species:S:1:pos:R:3 comment="CaPm2F PBE-GGA optimized geometry" e_form_raw_kj_per_mol_atoms=-93 vol_a3_per_atom=29.46 magnetic_moment_mub_per_fu=0.0 pbc="T T T"
Ca 0.000 0.000 0.000
Pm 0.000 0.000 3.382
Pm 0.000 0.000 25.081
F 0.000 0.000 14.232

***

# 19
5
Lattice="4.898 0.000 0.000 0.000 4.898 0.000 0.000 0.000 4.291" Properties=species:S:1:pos:R:3 comment="BeReAs2Cl PBE-GGA optimized geometry" e_form_raw_kj_per_mol_atoms=186 vol_a3_per_atom=20.59 magnetic_moment_mub_per_fu=0.0 pbc="T T T"
Be 0.000 0.000 0.000
Re 2.449 2.449 0.000
As 0.000 2.449 2.146
As 2.449 0.000 2.146
Cl 2.449 2.449 2.146

***

# 20
18
Lattice="8.246 0.000 0.000 0.000 8.776 0.000 -7.051 0.000 11.922" Properties=species:S:1:pos:R:3 comment="ThTl2I6 PBE-GGA optimized geometry" e_form_raw_kj_per_mol_atoms=-96 vol_a3_per_atom=47.93 magnetic_moment_mub_per_fu=0.0 pbc="T T T"
Th 0.000 0.000 0.000
Th -3.526 4.388 5.961
Tl -2.833 0.902 9.310
Tl 0.693 3.486 3.349
Tl 0.502 5.290 8.573
Tl 4.028 7.875 2.612
I -0.893 0.345 2.921
I -4.419 4.043 8.882
I 1.476 6.192 0.786
I -2.050 6.972 6.747
I 2.555 1.646 0.610
I -0.970 2.742 6.571
I 2.165 6.034 5.351
I -1.361 7.130 11.312
I 3.245 1.804 5.175
I -0.281 2.584 11.136
I 5.614 4.733 3.040
I 2.088 8.431 9.001